No. 1
Material: Ac2Pd2O5
Method: DFT, PBE-GGA
State: relaxed

Cell: 4.1289 5.3965 7.3308 Å, 110.51 106.36 90.00°
With the nearest neighbours (Å) after each atom.
Positions (direct):
Ac: 0.6167 0.3190 0.2334  8 O 2.52-2.80
Ac: 0.3833 0.6810 0.7666  8 O 2.52-2.80
Pd: 0.8994 0.2061 0.7989  4 O 2.01-2.09
Pd: 0.1006 0.7939 0.2011  4 O 2.01-2.09
O: 0.5804 0.7906 0.1607  2 Pd 2.08
O: 0.4196 0.2094 0.8393  2 Pd 2.08
O: 0.8071 0.4161 0.6143  1 Pd 2.01
O: 0.1929 0.5839 0.3857  1 Pd 2.01
O: 0.0000 0.0000 0.0000  2 Pd 2.09

The formation energy (no corrections) is -2.0350 eV/atom. As for the electronic total energy: -6.856 eV/atom. The size of the total moment is 0.000 μB per formula unit.

No. 2
Material: Ac2PmPdO6
Method: DFT, PBE-GGA
State: relaxed

Cell: 4.9611 5.8389 5.8389 Å, 90.00 90.00 90.00°
With the nearest neighbours (Å) after each atom.
Positions (direct):
Ac: 0.0177 0.5000 0.0000  4 O 2.55
Ac: 0.0177 0.0000 0.5000  4 O 2.55
Pm: 0.5701 0.5000 0.5000  5 O 2.21-2.24
Pd: 0.6835 0.0000 0.0000  4 O 2.01
O: 0.7164 0.2429 0.2429  1 Pd 2.01, 1 Pm 2.24
O: 0.7164 0.2429 0.7571  1 Pd 2.01, 1 Pm 2.24
O: 0.1237 0.5000 0.5000  1 Pm 2.21
O: 0.1683 0.0000 0.0000  2 Pd 2.40-2.56
O: 0.7164 0.7571 0.7571  1 Pd 2.01, 1 Pm 2.24
O: 0.7164 0.7571 0.2429  1 Pd 2.01, 1 Pm 2.24

The formation energy (no corrections) is -2.4458 eV/atom. As for the electronic total energy: -7.237 eV/atom. The size of the total moment is 0.225 μB per formula unit.

No. 3
Material: Ac2PmPdO5
Method: DFT, PBE-GGA
State: relaxed

Cell: 6.0266 6.9464 6.9464 Å, 90.00 90.00 90.00°
With the nearest neighbours (Å) after each atom.
Positions (direct):
Ac: 0.5000 0.6633 0.1633  4 O 2.33-2.60
Ac: 0.5000 0.1633 0.3367  4 O 2.33-2.60
Ac: 0.5000 0.8367 0.6633  4 O 2.33-2.60
Ac: 0.5000 0.3367 0.8367  4 O 2.33-2.60
Pm: 0.0000 0.5000 0.5000  10 O 2.93-3.01
Pm: 0.0000 0.0000 0.0000  10 O 2.93-3.01
Pd: 0.0000 0.0000 0.5000  4 O 2.15
Pd: 0.0000 0.5000 0.0000  4 O 2.15
O: 0.5000 0.5000 0.5000  4 Ac 2.60
O: 0.5000 0.0000 0.0000  4 Ac 2.60
O: 0.2289 0.1678 0.6678  1 Pd 2.15, 1 Ac 2.33
O: 0.2289 0.8322 0.3322  1 Pd 2.15, 1 Ac 2.33
O: 0.2289 0.3322 0.1678  1 Pd 2.15, 1 Ac 2.33
O: 0.2289 0.6678 0.8322  1 Pd 2.15, 1 Ac 2.33
O: 0.7711 0.1678 0.6678  1 Pd 2.15, 1 Ac 2.33
O: 0.7711 0.6678 0.8322  1 Pd 2.15, 1 Ac 2.33
O: 0.7711 0.8322 0.3322  1 Pd 2.15, 1 Ac 2.33
O: 0.7711 0.3322 0.1678  1 Pd 2.15, 1 Ac 2.33

The formation energy (no corrections) is -2.3713 eV/atom. As for the electronic total energy: -7.144 eV/atom. The size of the total moment is 0.999 μB per formula unit.

No. 4
Material: AcPr2PdO5
Method: DFT, PBE-GGA
State: relaxed

Cell: 6.0828 6.7480 6.7480 Å, 90.00 90.00 90.00°
With the nearest neighbours (Å) after each atom.
Positions (direct):
Ac: 0.0000 0.5000 0.5000  10 O 2.94-3.04
Ac: 0.0000 0.0000 0.0000  10 O 2.94-3.04
Pr: 0.5000 0.6654 0.1654  4 O 2.27-2.52
Pr: 0.5000 0.1654 0.3346  4 O 2.27-2.52
Pr: 0.5000 0.8346 0.6654  4 O 2.27-2.52
Pr: 0.5000 0.3346 0.8346  4 O 2.27-2.52
Pd: 0.0000 0.0000 0.5000  4 O 2.14
Pd: 0.0000 0.5000 0.0000  4 O 2.14
O: 0.5000 0.5000 0.5000  4 Pr 2.52
O: 0.5000 0.0000 0.0000  4 Pr 2.52
O: 0.2445 0.1610 0.6610  1 Pd 2.14, 1 Pr 2.27
O: 0.2445 0.8390 0.3390  1 Pd 2.14, 1 Pr 2.27
O: 0.2445 0.3390 0.1610  1 Pd 2.14, 1 Pr 2.27
O: 0.2445 0.6610 0.8390  1 Pd 2.14, 1 Pr 2.27
O: 0.7555 0.1610 0.6610  1 Pd 2.14, 1 Pr 2.27
O: 0.7555 0.6610 0.8390  1 Pd 2.14, 1 Pr 2.27
O: 0.7555 0.8390 0.3390  1 Pd 2.14, 1 Pr 2.27
O: 0.7555 0.3390 0.1610  1 Pd 2.14, 1 Pr 2.27

The formation energy (no corrections) is -2.5697 eV/atom. As for the electronic total energy: -7.420 eV/atom. The size of the total moment is 1.000 μB per formula unit.

No. 5
Material: Ac2PrPdO5
Method: DFT, PBE-GGA
State: relaxed

Cell: 6.0453 6.9644 6.9644 Å, 90.00 90.00 90.00°
With the nearest neighbours (Å) after each atom.
Positions (direct):
Ac: 0.5000 0.6636 0.1636  4 O 2.33-2.61
Ac: 0.5000 0.1636 0.3364  4 O 2.33-2.61
Ac: 0.5000 0.8364 0.6636  4 O 2.33-2.61
Ac: 0.5000 0.3364 0.8364  4 O 2.33-2.61
Pr: 0.0000 0.5000 0.5000  10 O 2.95-3.02
Pr: 0.0000 0.0000 0.0000  10 O 2.95-3.02
Pd: 0.0000 0.0000 0.5000  4 O 2.15
Pd: 0.0000 0.5000 0.0000  4 O 2.15
O: 0.5000 0.5000 0.5000  4 Ac 2.61
O: 0.5000 0.0000 0.0000  4 Ac 2.61
O: 0.2305 0.1667 0.6667  1 Pd 2.15, 1 Ac 2.33
O: 0.2305 0.8333 0.3333  1 Pd 2.15, 1 Ac 2.33
O: 0.2305 0.3333 0.1667  1 Pd 2.15, 1 Ac 2.33
O: 0.2305 0.6667 0.8333  1 Pd 2.15, 1 Ac 2.33
O: 0.7695 0.1667 0.6667  1 Pd 2.15, 1 Ac 2.33
O: 0.7695 0.6667 0.8333  1 Pd 2.15, 1 Ac 2.33
O: 0.7695 0.8333 0.3333  1 Pd 2.15, 1 Ac 2.33
O: 0.7695 0.3333 0.1667  1 Pd 2.15, 1 Ac 2.33

The formation energy (no corrections) is -2.4035 eV/atom. As for the electronic total energy: -7.179 eV/atom. The size of the total moment is 0.999 μB per formula unit.

No. 6
Material: Ac5PdPt2O
Method: DFT, PBE-GGA
State: relaxed

Cell: 4.3263 9.6768 13.1804 Å, 90.00 90.00 102.92°
With the nearest neighbours (Å) after each atom.
Positions (direct):
Ac: 0.3388 0.6775 0.0239  1 Pd 3.12, 4 Pt 3.21-3.25
Ac: 0.6696 0.3392 0.8790  1 O 2.50
Ac: 0.4924 0.9847 0.7397  1 O 2.41
Ac: 0.2951 0.5903 0.7050  2 Pd 3.05, 3 Pt 3.18-3.33
Ac: 0.9903 0.9806 0.4806  2 O 2.42
Ac: 0.6612 0.3225 0.5239  1 Pd 3.12, 4 Pt 3.21-3.25
Ac: 0.3304 0.6608 0.3790  1 O 2.50
Ac: 0.5076 0.0153 0.2397  1 O 2.41
Ac: 0.7049 0.4097 0.2050  2 Pd 3.05, 3 Pt 3.18-3.33
Ac: 0.0097 0.0194 0.9806  2 O 2.42
Pd: 0.8258 0.6516 0.5474  6 Ac 3.05-3.23
Pd: 0.1742 0.3484 0.0474  6 Ac 3.05-3.23
Pt: 0.8706 0.7412 0.8456  7 Ac 3.17-3.45
Pt: 0.1186 0.2371 0.6928  7 Ac 3.21-3.41
Pt: 0.1294 0.2588 0.3456  7 Ac 3.17-3.45
Pt: 0.8814 0.7629 0.1928  7 Ac 3.21-3.41
O: 0.5390 0.0780 0.9099  4 Ac 2.41-2.50
O: 0.4610 0.9220 0.4099  4 Ac 2.41-2.50

The formation energy (no corrections) is -1.2550 eV/atom. As for the electronic total energy: -6.008 eV/atom. The size of the total moment is 0.000 μB per formula unit.